1.
Compound: CsSc
Source: Alexandria
Functional: PBE-GGA
Structure: relaxed

Cell lengths 10.5974, 10.5974, 10.5974 Å; angles 91.90, 91.90, 159.01 degrees
With the nearest neighbours (Å) after each atom.
Positions (direct):
Cs  0.1227  0.1792  0.3019  2 Cs 3.86, 1 Sc 4.12
Cs  0.1792  0.8773  0.0564  2 Cs 3.86, 1 Sc 4.12
Cs  0.8208  0.1227  0.9436  2 Cs 3.86, 1 Sc 4.12
Cs  0.8773  0.8208  0.6981  2 Cs 3.86, 1 Sc 4.12
Sc  0.0507  0.6017  0.6524  5 Sc 3.06-3.35
Sc  0.3983  0.0507  0.4490  5 Sc 3.06-3.35
Sc  0.6017  0.9493  0.5510  5 Sc 3.06-3.35
Sc  0.9493  0.3983  0.3476  5 Sc 3.06-3.35

M_tot	0.40	Bohr magnetons per cell
formation energy	0.5180	eV per atom
E_tot	-3.075	eV/atom

2.
Compound: NdScP2
Source: Alexandria
Functional: PBE-GGA
Structure: relaxed

Cell lengths 7.0909, 7.0909, 7.0909 Å; angles 32.10, 32.10, 32.10 degrees
With the nearest neighbours (Å) after each atom.
Positions (direct):
Nd  0.0000  0.0000  0.0000  6 P 2.89-2.97
Sc  0.1718  0.1718  0.1718  6 P 2.69-2.74
P  0.5773  0.5773  0.5773  3 Sc 2.69, 3 Nd 2.89
P  0.7621  0.7621  0.7621  3 Sc 2.74, 3 Nd 2.97

M_tot	0.00	Bohr magnetons per cell
formation energy	-1.3408	eV per atom
E_tot	-6.821	eV/atom

3.
Compound: PuGa
Source: Alexandria
Functional: PBE-GGA
Structure: relaxed

Cell lengths 2.7189, 2.7189, 5.3546 Å; angles 90.00, 90.00, 119.58 degrees
With the nearest neighbours (Å) after each atom.
Positions (direct):
Pu  0.0000  0.0000  0.0000  6 Pu 2.72-2.74, 4 Ga 3.01
Ga  0.5000  0.5000  0.5000  6 Ga 2.72-2.74, 4 Pu 3.01

M_tot	1.25	Bohr magnetons per cell
formation energy	0.1004	eV per atom
E_tot	-8.579	eV/atom

4.
Compound: CdMo2As
Source: Alexandria
Functional: PBE-GGA
Structure: relaxed

Cell lengths 4.8013, 4.8013, 5.1338 Å; angles 100.97, 100.97, 38.84 degrees
With the nearest neighbours (Å) after each atom.
Positions (direct):
Cd  0.0000  0.0000  0.0000  3 As 2.85-3.06, 7 Mo 2.94-3.09
Mo  0.4797  0.4797  0.4793  3 Mo 2.58-2.84, 3 As 2.71-2.82
Mo  0.7582  0.7582  0.3067  3 Mo 2.58-2.84, 2 As 2.62
As  0.2314  0.2314  0.6983  5 Mo 2.62-2.82, 1 Cd 2.85

M_tot	0.00	Bohr magnetons per cell
formation energy	0.3752	eV per atom
E_tot	-6.431	eV/atom

5.
Compound: Li4Dy3SbSe8
Source: Alexandria
Functional: PBE-GGA
Structure: relaxed

Cell lengths 8.0255, 8.0255, 8.0255 Å; angles 61.05, 61.05, 61.05 degrees
With the nearest neighbours (Å) after each atom.
Positions (direct):
Li  0.0000  0.0000  0.0000  6 Se 2.84
Li  0.0000  0.5000  0.5000  6 Se 2.84-2.85
Li  0.5000  0.0000  0.5000  6 Se 2.84-2.85
Li  0.5000  0.5000  0.0000  6 Se 2.84-2.85
Dy  0.0000  0.0000  0.5000  6 Se 2.87-2.88
Dy  0.0000  0.5000  0.0000  6 Se 2.87-2.88
Dy  0.5000  0.0000  0.0000  6 Se 2.87-2.88
Sb  0.5000  0.5000  0.5000  6 Se 2.88
Se  0.2485  0.2485  0.7487  3 Li 2.84, 2 Dy 2.88, 1 Sb 2.88
Se  0.2485  0.7487  0.2485  3 Li 2.84, 2 Dy 2.88, 1 Sb 2.88
Se  0.2508  0.2508  0.2508  3 Li 2.85, 3 Dy 2.87
Se  0.2513  0.7515  0.7515  3 Li 2.84, 2 Dy 2.88, 1 Sb 2.88
Se  0.7487  0.2485  0.2485  3 Li 2.84, 2 Dy 2.88, 1 Sb 2.88
Se  0.7492  0.7492  0.7492  3 Li 2.85, 3 Dy 2.87
Se  0.7515  0.2513  0.7515  3 Li 2.84, 2 Dy 2.88, 1 Sb 2.88
Se  0.7515  0.7515  0.2513  3 Li 2.84, 2 Dy 2.88, 1 Sb 2.88

M_tot	0.00	Bohr magnetons per cell
E_tot	-4.771	eV/atom

6.
Compound: Ca2YW
Source: Alexandria
Functional: PBE-GGA
Structure: relaxed

Cell lengths 11.7875, 11.7875, 11.7875 Å; angles 15.99, 15.99, 15.99 degrees
With the nearest neighbours (Å) after each atom.
Positions (direct):
Ca  0.2379  0.2379  0.2379  3 W 3.13, 6 Ca 3.28
Ca  0.7621  0.7621  0.7621  3 W 3.13, 6 Ca 3.28
Y  0.0000  0.0000  0.0000  6 Y 3.28
W  0.5000  0.5000  0.5000  6 Ca 3.13, 6 W 3.28

M_tot	0.00	Bohr magnetons per cell
formation energy	0.7943	eV per atom
E_tot	-5.061	eV/atom

- Which value of E_tot does entry 4 give?
  -6.431 eV/atom